1.
Density functional theory data (meta-GGA SCAN) for Na2Ca2Br at its PBEsol-relaxed geometry.

It has space group I4/mmm (No. 139), with a = 4.580 Å, b = 4.580 Å, c = 19.102 Å, α = 90.00°, β = 90.00° and γ = 90.00°. Symmetry generates all atoms from Na at (0.000, 0.000, 0.086), Ca at (0.000, 0.500, 0.250) and Br at (0.000, 0.000, 0.500).

The uncorrected energy is -96.2 eV per cell. For the formation energy (no corrections), the calculation gives -87 kJ/mol of formula units. The calculation puts the total magnetization at 0.9 μB per formula unit. The density of states at the Fermi level comes out at 4.1 states/eV per cell.

=====

2.
Density functional theory data (meta-GGA SCAN) for SbOs2W at its PBEsol-relaxed geometry.

It has space group Imm2 (No. 44), with a = 3.048 Å, b = 4.548 Å, c = 9.121 Å, α = 90.00°, β = 90.00° and γ = 90.00°. Symmetry generates all atoms from Sb at (0.000, 0.000, 0.000), Os at (0.000, 0.000, 0.500), Os at (0.000, 0.500, 0.728) and W at (0.000, 0.500, 0.259).

The uncorrected energy is -496.3 eV per cell. For the formation energy (no corrections), the calculation gives 246 kJ/mol of formula units. The calculation puts the total magnetization at 0.0 μB per formula unit. The density of states at the Fermi level comes out at 5.7 states/eV per cell.

=====

3.
Density functional theory data (meta-GGA SCAN) for RbMn2ReOs at its PBEsol-relaxed geometry.

It has space group P4/mmm (No. 123), with a = 4.688 Å, b = 4.688 Å, c = 5.261 Å, α = 90.00°, β = 90.00° and γ = 90.00°. Symmetry generates all atoms from Rb at (0.000, 0.000, 0.000), Mn at (0.000, 0.500, 0.500), Re at (0.500, 0.500, 0.000) and Os at (0.000, 0.000, 0.500).

The calculation puts the formation energy from the elements at 2.246 eV/atom. The uncorrected energy is -189.0 eV per cell. The calculation puts the total magnetization at 4.4 μB per formula unit. The density of states at the Fermi level comes out at 5.2 states/eV per cell.

=====

4.
Density functional theory data (meta-GGA SCAN) for BaZrInIr2 at its PBEsol-relaxed geometry.

It has space group P4/mmm (No. 123), with a = 4.876 Å, b = 4.876 Å, c = 5.773 Å, α = 90.00°, β = 90.00° and γ = 90.00°. Symmetry generates all atoms from Ba at (0.000, 0.000, 0.000), Zr at (0.000, 0.000, 0.500), In at (0.500, 0.500, 0.000) and Ir at (0.000, 0.500, 0.500).

The calculation puts the formation energy from the elements at 0.932 eV/atom. The uncorrected energy is -241.2 eV per cell. The calculation puts the total magnetization at 0.0 μB per formula unit. The density of states at the Fermi level comes out at 4.1 states/eV per cell.

=====

5.
Density functional theory data (meta-GGA SCAN) for Cs2LiSmCl6 at its PBEsol-relaxed geometry.

It has space group Fm-3m (No. 225), with a = 10.452 Å, b = 10.452 Å, c = 10.452 Å, α = 90.00°, β = 90.00° and γ = 90.00°. Symmetry generates all atoms from Cs at (0.250, 0.250, 0.250), Li at (0.000, 0.000, 0.000), Sm at (0.000, 0.000, 0.500) and Cl at (0.000, 0.000, 0.245).

The uncorrected energy is -776.5 eV per cell. For the formation energy (no corrections), the calculation gives -2297 kJ/mol of formula units. The calculation puts the total magnetization at 0.0 μB per formula unit. The density of states at the Fermi level comes out at 0.0 states/eV per cell.

=====

6.
Density functional theory data (meta-GGA SCAN) for TaAlH3 at its PBEsol-relaxed geometry.

It has space group Pm-3m (No. 221), with a = 3.554 Å, b = 3.554 Å, c = 3.554 Å, α = 90.00°, β = 90.00° and γ = 90.00°. Symmetry generates all atoms from Ta at (0.000, 0.000, 0.000), Al at (0.500, 0.500, 0.500) and H at (0.000, 0.000, 0.500).

The uncorrected energy is -83.5 eV per cell. The calculation puts the total magnetization at 0.0 μB per formula unit. The density of states at the Fermi level comes out at 1.4 states/eV per cell.

=====

7.
Density functional theory data (meta-GGA SCAN) for Eu2SO2 at its PBEsol-relaxed geometry.

It has space group P-3m1 (No. 164), with a = 3.8559 Å, b = 3.8559 Å, c = 6.6614 Å, α = 90.00°, β = 90.00° and γ = 120.00°. Symmetry generates all atoms from Eu at (0.3333, 0.6667, 0.2808), S at (0.0000, 0.0000, 0.0000) and O at (0.3333, 0.6667, 0.6317).

The uncorrected energy is -143.1 eV per cell. For the formation energy (no corrections), the calculation gives -1311 kJ/mol of formula units. The calculation puts the total magnetization at 12.0 μB per formula unit. The density of states at the Fermi level comes out at 5.8 states/eV per cell.

=====

8.
Density functional theory data (meta-GGA SCAN) for SmFeSi at its PBEsol-relaxed geometry.

It has space group P4/nmm (No. 129, origin choice 2), with a = 3.996 Å, b = 3.996 Å, c = 6.686 Å, α = 90.00°, β = 90.00° and γ = 90.00°. Symmetry generates all atoms from Sm at (0.250, 0.250, 0.183), Fe at (0.250, 0.750, 0.500) and Si at (0.250, 0.250, 0.670).

The uncorrected energy is -148.3 eV per cell. For the formation energy (no corrections), the calculation gives -151 kJ/mol of formula units. The calculation puts the total magnetization at 0.0 μB per formula unit. The density of states at the Fermi level comes out at 5.9 states/eV per cell.

=====

9.
Density functional theory data (meta-GGA SCAN) for ScAsPt at its PBEsol-relaxed geometry.

It has space group I4mm (No. 107), with a = 3.635 Å, b = 3.635 Å, c = 7.955 Å, α = 90.00°, β = 90.00° and γ = 90.00°. Symmetry generates all atoms from Sc at (0.000, 0.000, 0.000), As at (0.000, 0.000, 0.330) and Pt at (0.000, 0.000, 0.649).

The calculation puts the formation energy from the elements at -0.891 eV/atom. The uncorrected energy is -214.6 eV per cell. The calculation puts the total magnetization at 0.0 μB per formula unit. The density of states at the Fermi level comes out at 2.7 states/eV per cell.

=====

10.
Density functional theory data (meta-GGA SCAN) for LiMgSi2 at its PBEsol-relaxed geometry.

It has space group P4/mmm (No. 123), with a = 3.873 Å, b = 3.873 Å, c = 4.042 Å, α = 90.00°, β = 90.00° and γ = 90.00°. Symmetry generates all atoms from Li at (0.000, 0.000, 0.000), Mg at (0.500, 0.500, 0.000) and Si at (0.000, 0.500, 0.500).

The uncorrected energy is -27.3 eV per cell. For the formation energy (no corrections), the calculation gives 5 kJ/mol of formula units. The calculation puts the total magnetization at 0.0 μB per formula unit. The density of states at the Fermi level comes out at 1.1 states/eV per cell.

=====

11.
Density functional theory data (meta-GGA SCAN) for Mn3ZnIn at its PBEsol-relaxed geometry.

It has space group Pm-3m (No. 221), with a = 4.487 Å, b = 4.487 Å, c = 4.487 Å, α = 90.00°, β = 90.00° and γ = 90.00°. Symmetry generates all atoms from Mn at (0.000, 0.000, 0.500), Zn at (0.000, 0.000, 0.000) and In at (0.500, 0.500, 0.500).

The calculation puts the formation energy from the elements at 0.421 eV/atom. The uncorrected energy is -99.6 eV per cell. The calculation puts the total magnetization at 11.1 μB per formula unit. The density of states at the Fermi level comes out at 3.0 states/eV per cell.

=====

12.
Density functional theory data (meta-GGA SCAN) for Rb3BaAg at its PBEsol-relaxed geometry.

It has space group Pm-3m (No. 221), with a = 6.855 Å, b = 6.855 Å, c = 6.855 Å, α = 90.00°, β = 90.00° and γ = 90.00°. Symmetry generates all atoms from Rb at (0.000, 0.000, 0.500), Ba at (0.500, 0.500, 0.500) and Ag at (0.000, 0.000, 0.000).

The calculation puts the formation energy from the elements at 0.207 eV/atom. The uncorrected energy is -132.1 eV per cell. The calculation puts the total magnetization at 1.6 μB per formula unit. The density of states at the Fermi level comes out at 4.5 states/eV per cell.

=====

13.
Density functional theory data (meta-GGA SCAN) for La2Ni at its PBEsol-relaxed geometry.

It has space group I4/mcm (No. 140), with a = 6.939 Å, b = 6.939 Å, c = 6.283 Å, α = 90.00°, β = 90.00° and γ = 90.00°. Symmetry generates all atoms from La at (0.182, 0.318, 0.000) and Ni at (0.000, 0.000, 0.250).

The calculation puts the formation energy from the elements at -0.141 eV/atom. The uncorrected energy is -411.2 eV per cell. The calculation puts the total magnetization at 0.0 μB per formula unit. The density of states at the Fermi level comes out at 12.8 states/eV per cell.

=====

14.
Density functional theory data (meta-GGA SCAN) for Zr2CdP at its PBEsol-relaxed geometry.

It has space group P4/mmm (No. 123), with a = 4.378 Å, b = 4.378 Å, c = 3.862 Å, α = 90.00°, β = 90.00° and γ = 90.00°. Symmetry generates all atoms from Zr at (0.000, 0.500, 0.000), Cd at (0.000, 0.000, 0.500) and P at (0.500, 0.500, 0.500).

The calculation puts the formation energy from the elements at -0.435 eV/atom. For the excess energy over the best structure of this formula in the dataset, the calculation gives 399 meV/atom. The uncorrected energy is -104.0 eV per cell. The calculation puts the total magnetization at 0.0 μB per formula unit. The density of states at the Fermi level comes out at 1.9 states/eV per cell.